1.
VASP calculation (GGA-PBE) on a relaxed BaMgPdPb2 crystal.

Cell and atoms, written as POSCAR:
```
BaMgPdPb2
1.0
-1.6578 -0.5491 5.2097
1.5997 -5.2564 -0.0450
4.6680 1.4066 1.6336
Pb Mg Ba Pd
2 1 1 1
Cartesian
0.7998 -2.6282 -0.0225
-0.8289 -0.2746 2.6049
2.3340 0.7033 0.8168
2.3049 -2.1995 3.3992
0.0000 0.0000 0.0000
```

Summary:
* uncorrected energy: -3.523 eV per atom
* total magnetic moment: 0.000 μB per atom
* ΔH_f (0 K): -297 meV per atom
* space group: No. 123

***

2.
VASP calculation (GGA-PBE) on a relaxed BaNaNpS4 crystal.

Cell and atoms, written as POSCAR:
```
BaNaNpS4
1.0
5.1682 0.0000 0.0000
0.0000 5.1682 0.0000
-2.5841 -2.5841 7.6562
Ba Na Np S
1 1 1 4
Cartesian
0.0000 0.0000 5.5415
2.5841 2.5841 2.1933
0.0000 0.0000 0.0147
2.5841 0.0000 7.6405
0.0000 2.5841 7.6405
2.5841 2.5841 5.0979
0.0000 0.0000 2.4963
```

Summary:
* uncorrected energy: -6.056 eV per atom
* E_form (uncorrected): -1.3855 eV per atom
* total magnetic moment: 0.286 μB per atom
* space group: No. 107

***

3.
VASP calculation (GGA-PBE) on a relaxed SrFeSb2Te crystal.

Cell and atoms, written as POSCAR:
```
SrFeSb2Te
1.0
4.8519 0.0000 0.0000
0.0000 4.8519 0.0000
0.0000 0.0000 6.0289
Sb Te Fe Sr
2 1 1 1
Cartesian
0.0000 2.4259 0.0000
2.4259 0.0000 0.0000
0.0000 0.0000 3.0144
0.0000 0.0000 0.0000
2.4259 2.4259 3.0144
```

Summary:
* uncorrected energy: -4.524 eV per atom
* E_form (uncorrected): -0.2176 eV per atom
* total magnetic moment: 0.000 μB per atom
* E above lowest polymorph: 0 meV/atom
* space group: No. 123

***

4.
VASP calculation (GGA-PBE) on a relaxed Cd7Ag4Hg crystal.

Cell and atoms, written as POSCAR:
```
Cd7Ag4Hg
1.0
-0.2729 -3.0825 -0.4770
2.7243 1.1986 0.9725
-8.3421 -3.5557 27.7525
Cd Ag Hg
7 4 1
Cartesian
0.0000 0.0000 0.0000
-1.6954 -1.6864 11.8688
-4.1954 -3.7532 16.3791
0.3795 -0.8020 4.9661
-6.2703 -4.6376 23.2818
-6.2643 -2.6700 20.8399
-2.0779 -0.8856 6.9126
-5.9437 -3.4972 26.0022
0.0530 -1.9424 2.2458
-3.8665 -2.6118 19.0918
-2.0243 -2.8278 9.1562
-4.1711 -1.7778 13.8762
```

Summary:
* uncorrected energy: -1.511 eV per atom
* total magnetic moment: 0.000 μB per atom
* ΔH_f (0 K): -2 meV per atom
* E above lowest polymorph: 0 meV/atom
* space group: No. 164

***

5.
VASP calculation (GGA-PBE) on a relaxed Sr2LiCaAg crystal.

Cell and atoms, written as POSCAR:
```
Sr2LiCaAg
1.0
6.2565 0.0000 0.0000
0.0000 6.2565 0.0000
0.0000 0.0000 5.1418
Sr Ca Ag Li
2 1 1 1
Cartesian
0.0000 3.1282 0.0000
3.1282 0.0000 0.0000
3.1282 3.1282 2.5709
0.0000 0.0000 0.0000
0.0000 0.0000 2.5709
```

Summary:
* uncorrected energy: -2.013 eV per atom
* total magnetic moment: 0.000 μB per atom
* ΔH_f (0 K): 13 meV per atom
* E above lowest polymorph: 13 meV/atom
* space group: No. 123

***

6.
VASP calculation (GGA-PBE) on a relaxed AcCdGeO5 crystal.

Cell and atoms, written as POSCAR:
```
AcCdGeO5
1.0
-5.8100 -1.0279 -0.4910
1.2601 0.0650 5.7846
0.3030 8.6388 -1.8458
Ac Cd Ge O
2 2 2 10
Cartesian
0.1515 4.3194 -0.9229
0.0000 0.0000 0.0000
-1.2270 1.8285 3.0483
-3.0199 5.8473 0.3995
-3.4590 1.4835 1.0671
-0.7879 6.1923 2.3807
0.3834 2.0774 4.4777
-4.6303 5.5984 -1.0300
-5.0147 0.6244 1.2348
0.7678 7.0515 2.2130
-3.6029 2.0799 -0.6092
-0.6440 5.5959 4.0570
-3.2154 2.7598 2.2780
-1.0314 4.9161 1.1698
-2.0294 0.4659 1.3413
-2.2175 7.2100 2.1065
```

Summary:
* uncorrected energy: -6.111 eV per atom
* E_form (uncorrected): -1.8072 eV per atom
* total magnetic moment: 0.131 μB per atom
* space group: No. 15

***

7.
VASP calculation (GGA-PBE) on a relaxed Sm3ErTm4 crystal.

Cell and atoms, written as POSCAR:
```
Sm3ErTm4
1.0
6.2522 0.0000 0.0000
0.0000 7.2458 0.0000
0.0000 0.0000 11.2570
Sm Er Tm
6 2 8
Cartesian
4.0470 4.5472 0.0000
6.1378 4.5429 2.8149
3.0118 2.7029 2.8136
0.9209 2.6986 5.6285
3.0118 2.7029 8.4434
6.1378 4.5429 8.4421
0.9146 2.6875 0.0000
4.0407 4.5583 5.6285
0.9278 6.3611 0.0000
4.0516 0.8806 0.0000
6.1328 0.8831 2.7961
3.0067 6.3627 2.8325
0.9255 6.3652 5.6285
4.0539 0.8847 5.6285
3.0067 6.3627 8.4246
6.1328 0.8831 8.4610
```

Summary:
* uncorrected energy: -4.562 eV per atom
* total magnetic moment: 0.000 μB per atom
* ΔH_f (0 K): 13 meV per atom
* E above lowest polymorph: 0 meV/atom
* space group: No. 31

***

8.
VASP calculation (GGA-PBE) on a relaxed NaTlAs4 crystal.

Cell and atoms, written as POSCAR:
```
NaTlAs4
1.0
-4.1664 0.4227 -5.8725
-3.8231 -4.7651 5.7679
2.6329 7.7014 2.0850
Na Tl As
2 2 8
Cartesian
-3.6631 3.2035 1.2832
-1.6935 0.1556 0.6972
-1.5607 3.0292 4.2085
-3.7959 0.3299 -2.2281
0.9308 5.5492 0.3911
-1.2836 5.8056 -2.5641
-2.9119 0.0938 3.7884
-4.8771 0.2346 0.8786
-0.4795 3.1244 1.1018
-2.4447 3.2652 -1.8079
-4.0730 -2.4466 4.5445
-6.2874 -2.1901 1.5893
```

Summary:
* uncorrected energy: -3.783 eV per atom
* total magnetic moment: 0.000 μB per atom
* ΔH_f (0 K): -69 meV per atom
* E above lowest polymorph: 0 meV/atom
* space group: No. 15

***

9.
VASP calculation (GGA-PBE) on a relaxed SrCdS2 crystal.

Cell and atoms, written as POSCAR:
```
SrCdS2
1.0
4.0367 0.0000 0.0000
2.0184 3.4959 0.0000
2.0184 1.1653 6.8376
Sr Cd S
1 1 2
Cartesian
4.0367 2.3306 3.4470
6.0551 3.4959 6.8046
2.0184 1.1653 5.3051
2.0184 1.1653 1.5374
```

Summary:
* uncorrected energy: -3.945 eV per atom
* E_form (uncorrected): -1.2316 eV per atom
* total magnetic moment: 0.000 μB per atom
* space group: No. 160

***

10.
VASP calculation (GGA-PBE) on a relaxed YPuMgGe crystal.

Cell and atoms, written as POSCAR:
```
YPuMgGe
1.0
5.1513 0.0000 0.0000
2.5756 4.4612 0.0000
2.5756 1.4871 4.2060
Y Ge Mg Pu
1 1 1 1
Cartesian
5.1513 2.9741 2.1030
2.5756 1.4871 1.0515
7.7269 4.4612 3.1545
0.0000 0.0000 0.0000
```

Summary:
* uncorrected energy: -6.977 eV per atom
* total magnetic moment: 1.582 μB per atom
* ΔH_f (0 K): -225 meV per atom
* space group: No. 216

***

11.
VASP calculation (GGA-PBE) on a relaxed Cs2TmCl6 crystal.

Cell and atoms, written as POSCAR:
```
Cs2TmCl6
1.0
4.3510 0.0000 0.0000
0.0000 8.6365 0.0000
0.0000 -4.3182 7.4850
Cs Tm Cl
2 1 6
Cartesian
0.0000 -0.0013 4.9889
0.0000 4.3170 2.4961
2.1755 0.0015 0.0000
2.1755 5.8692 0.0000
2.1755 1.3834 2.4001
2.1755 5.7017 5.0849
0.0000 1.8688 0.0000
0.0000 3.3847 5.8676
0.0000 7.7029 1.6174
```

Summary:
* uncorrected energy: -3.692 eV per atom
* E_form (uncorrected): -1.7746 eV per atom
* total magnetic moment: 0.124 μB per atom
* space group: No. 189

***

Question: What is the uncorrected energy in the ninth record?
Answer: -3.945 eV per atom

***

Question: uncorrected energy of number 8 (NaTlAs4)?
Answer: -3.783 eV per atom